No. 1
## CaLaCr2Os (GGA-PBE)

Data for a geometry-optimized CaLaCr2Os structure.

## Properties
Crystal system ... tetragonal
E ... -0.218 Ha/atom

Geometry as CIF:
```
data_CaLaCr2Os
_chemical_formula_sum 'Ca1 La1 Cr2 Os1'
_cell_length_a 4.980
_cell_length_b 4.980
_cell_length_c 4.977
_cell_angle_alpha 90.00
_cell_angle_beta 90.00
_cell_angle_gamma 90.00
_space_group_name_H-M_alt 'P 4/m m m'
_space_group_IT_number 123
_space_group_name_Hall '-P 4 2'
loop_
_atom_site_label
_atom_site_fract_x
_atom_site_fract_y
_atom_site_fract_z
_atom_site_occupancy
Ca1 0.000 0.000 0.000 1
La1 0.500 0.500 0.500 1
Cr1 0.000 0.500 0.500 1
Os1 0.500 0.500 0.000 1
```

=====

No. 2
## CaLaCr2Re (GGA-PBE)

Data for a geometry-optimized CaLaCr2Re structure.

## Properties
Crystal system ... tetragonal
E ... -0.200 Ha/atom

Geometry as CIF:
```
data_CaLaCr2Re
_chemical_formula_sum 'Ca1 La1 Cr2 Re1'
_cell_length_a 4.456
_cell_length_b 4.456
_cell_length_c 5.149
_cell_angle_alpha 90.00
_cell_angle_beta 90.00
_cell_angle_gamma 90.00
_space_group_name_H-M_alt 'P 4/m m m'
_space_group_IT_number 123
_space_group_name_Hall '-P 4 2'
loop_
_atom_site_label
_atom_site_fract_x
_atom_site_fract_y
_atom_site_fract_z
_atom_site_occupancy
Ca1 0.000 0.000 0.000 1
La1 0.000 0.000 0.500 1
Cr1 0.000 0.500 0.500 1
Re1 0.500 0.500 0.000 1
```

=====

No. 3
## Li4CaCr (GGA-PBE)

Data for a geometry-optimized Li4CaCr structure.

## Properties
Crystal system ... cubic
E ... -0.109 Ha/atom

Geometry as CIF:
```
data_Li4CaCr
_chemical_formula_sum 'Li16 Ca4 Cr4'
_cell_length_a 8.025
_cell_length_b 8.025
_cell_length_c 8.025
_cell_angle_alpha 90.00
_cell_angle_beta 90.00
_cell_angle_gamma 90.00
_space_group_name_H-M_alt 'F -4 3 m'
_space_group_IT_number 216
_space_group_name_Hall 'F -4 2 3'
loop_
_atom_site_label
_atom_site_fract_x
_atom_site_fract_y
_atom_site_fract_z
_atom_site_occupancy
Li1 0.122 0.122 0.378 1
Ca1 0.000 0.000 0.000 1
Cr1 0.250 0.250 0.750 1
```

=====

No. 4
## LiCaCr3 (GGA-PBE)

Data for a geometry-optimized LiCaCr3 structure.

## Properties
Crystal system ... cubic
Energy above the most stable polymorph in this dataset ... 0.000 eV/atom

Geometry as CIF:
```
data_LiCaCr3
_chemical_formula_sum 'Li1 Ca1 Cr3'
_cell_length_a 4.787
_cell_length_b 4.787
_cell_length_c 4.787
_cell_angle_alpha 90.00
_cell_angle_beta 90.00
_cell_angle_gamma 90.00
_space_group_name_H-M_alt 'P m -3 m'
_space_group_IT_number 221
_space_group_name_Hall '-P 4 2 3'
loop_
_atom_site_label
_atom_site_fract_x
_atom_site_fract_y
_atom_site_fract_z
_atom_site_occupancy
Li1 0.000 0.000 0.000 1
Ca1 0.500 0.500 0.500 1
Cr1 0.000 0.000 0.500 1
```

=====

No. 5
## LiCaCr2 (GGA-PBE)

Data for a geometry-optimized LiCaCr2 structure.

## Properties
Crystal system ... orthorhombic
Energy above the most stable polymorph in this dataset ... 0.437 eV/atom

Geometry as CIF:
```
data_LiCaCr2
_chemical_formula_sum 'Li2 Ca2 Cr4'
_cell_length_a 6.367
_cell_length_b 8.683
_cell_length_c 3.308
_cell_angle_alpha 90.00
_cell_angle_beta 90.00
_cell_angle_gamma 90.00
_space_group_name_H-M_alt 'C m m m'
_space_group_IT_number 65
_space_group_name_Hall '-C 2 2'
loop_
_atom_site_label
_atom_site_fract_x
_atom_site_fract_y
_atom_site_fract_z
_atom_site_occupancy
Li1 0.000 0.000 0.000 1
Ca1 0.000 0.500 0.000 1
Cr1 0.250 0.250 0.500 1
```

=====

No. 6
## LiCaCr (GGA-PBE)

Data for a geometry-optimized LiCaCr structure.

## Properties
Crystal system ... trigonal
Energy above the most stable polymorph in this dataset ... 0.019 eV/atom

Geometry as CIF:
```
data_LiCaCr
_chemical_formula_sum 'Li1 Ca1 Cr1'
_cell_length_a 5.0328
_cell_length_b 5.0328
_cell_length_c 3.4273
_cell_angle_alpha 90.00
_cell_angle_beta 90.00
_cell_angle_gamma 120.00
_space_group_name_H-M_alt 'P 3 m 1'
_space_group_IT_number 156
_space_group_name_Hall 'P 3 -2"'
loop_
_atom_site_label
_atom_site_fract_x
_atom_site_fract_y
_atom_site_fract_z
_atom_site_occupancy
Li1 0.0000 0.0000 0.0000 1
Ca1 0.6667 0.3333 0.5033 1
Cr1 0.3333 0.6667 0.0053 1
```

=====

No. 7
## LiCaCr2 (GGA-PBE)

Data for a geometry-optimized LiCaCr2 structure.

## Properties
Crystal system ... tetragonal
Energy above the most stable polymorph in this dataset ... 0.518 eV/atom

Geometry as CIF:
```
data_LiCaCr2
_chemical_formula_sum 'Li1 Ca1 Cr2'
_cell_length_a 3.574
_cell_length_b 3.574
_cell_length_c 4.981
_cell_angle_alpha 90.00
_cell_angle_beta 90.00
_cell_angle_gamma 90.00
_space_group_name_H-M_alt 'P 4/m m m'
_space_group_IT_number 123
_space_group_name_Hall '-P 4 2'
loop_
_atom_site_label
_atom_site_fract_x
_atom_site_fract_y
_atom_site_fract_z
_atom_site_occupancy
Li1 0.000 0.000 0.000 1
Ca1 0.500 0.500 0.000 1
Cr1 0.000 0.500 0.500 1
```

=====

No. 8
## LiCaCr2 (GGA-PBE)

Data for a geometry-optimized LiCaCr2 structure.

## Properties
Crystal system ... orthorhombic
Energy above the most stable polymorph in this dataset ... 0.454 eV/atom

Geometry as CIF:
```
data_LiCaCr2
_chemical_formula_sum 'Li2 Ca2 Cr4'
_cell_length_a 2.970
_cell_length_b 4.156
_cell_length_c 10.047
_cell_angle_alpha 90.00
_cell_angle_beta 90.00
_cell_angle_gamma 90.00
_space_group_name_H-M_alt 'I m m m'
_space_group_IT_number 71
_space_group_name_Hall '-I 2 2'
loop_
_atom_site_label
_atom_site_fract_x
_atom_site_fract_y
_atom_site_fract_z
_atom_site_occupancy
Li1 0.000 0.000 0.000 1
Ca1 0.000 0.000 0.500 1
Cr1 0.000 0.500 0.265 1
```

=====

No. 9
## LiCa4Cr (GGA-PBE)

Data for a geometry-optimized LiCa4Cr structure.

## Properties
Crystal system ... cubic
E ... -0.096 Ha/atom

Geometry as CIF:
```
data_LiCa4Cr
_chemical_formula_sum 'Li4 Ca16 Cr4'
_cell_length_a 9.684
_cell_length_b 9.684
_cell_length_c 9.684
_cell_angle_alpha 90.00
_cell_angle_beta 90.00
_cell_angle_gamma 90.00
_space_group_name_H-M_alt 'F -4 3 m'
_space_group_IT_number 216
_space_group_name_Hall 'F -4 2 3'
loop_
_atom_site_label
_atom_site_fract_x
_atom_site_fract_y
_atom_site_fract_z
_atom_site_occupancy
Li1 0.000 0.000 0.000 1
Ca1 0.125 0.125 0.625 1
Cr1 0.250 0.250 0.250 1
```

=====

No. 10
## LiCaCr2 (GGA-PBE)

Data for a geometry-optimized LiCaCr2 structure.

## Properties
Crystal system ... tetragonal
Energy above the most stable polymorph in this dataset ... 0.374 eV/atom

Geometry as CIF:
```
data_LiCaCr2
_chemical_formula_sum 'Li2 Ca2 Cr4'
_cell_length_a 4.429
_cell_length_b 4.429
_cell_length_c 9.121
_cell_angle_alpha 90.00
_cell_angle_beta 90.00
_cell_angle_gamma 90.00
_space_group_name_H-M_alt 'I 4/m m m'
_space_group_IT_number 139
_space_group_name_Hall '-I 4 2'
loop_
_atom_site_label
_atom_site_fract_x
_atom_site_fract_y
_atom_site_fract_z
_atom_site_occupancy
Li1 0.000 0.000 0.000 1
Ca1 0.000 0.000 0.500 1
Cr1 0.000 0.500 0.250 1
```

=====

No. 11
## LiCa3Cr (GGA-PBE)

Data for a geometry-optimized LiCa3Cr structure.

## Properties
Crystal system ... cubic
Energy above the most stable polymorph in this dataset ... 0.000 eV/atom

Geometry as CIF:
```
data_LiCa3Cr
_chemical_formula_sum 'Li1 Ca3 Cr1'
_cell_length_a 5.689
_cell_length_b 5.689
_cell_length_c 5.689
_cell_angle_alpha 90.00
_cell_angle_beta 90.00
_cell_angle_gamma 90.00
_space_group_name_H-M_alt 'P m -3 m'
_space_group_IT_number 221
_space_group_name_Hall '-P 4 2 3'
loop_
_atom_site_label
_atom_site_fract_x
_atom_site_fract_y
_atom_site_fract_z
_atom_site_occupancy
Li1 0.000 0.000 0.000 1
Ca1 0.000 0.000 0.500 1
Cr1 0.500 0.500 0.500 1
```

=====

No. 12
## LiCaCr2 (GGA-PBE)

Data for a geometry-optimized LiCaCr2 structure.

## Properties
Crystal system ... cubic
Energy above the most stable polymorph in this dataset ... 0.424 eV/atom

Geometry as CIF:
```
data_LiCaCr2
_chemical_formula_sum 'Li4 Ca4 Cr8'
_cell_length_a 7.120
_cell_length_b 7.120
_cell_length_c 7.120
_cell_angle_alpha 90.00
_cell_angle_beta 90.00
_cell_angle_gamma 90.00
_space_group_name_H-M_alt 'F m -3 m'
_space_group_IT_number 225
_space_group_name_Hall '-F 4 2 3'
loop_
_atom_site_label
_atom_site_fract_x
_atom_site_fract_y
_atom_site_fract_z
_atom_site_occupancy
Li1 0.000 0.000 0.000 1
Ca1 0.000 0.000 0.500 1
Cr1 0.250 0.250 0.250 1
```